# La2SiAs SCAN PBEsol geometry
data_La2SiAs
_chemical_formula_sum 'La2 Si1 As1'
_space_group_name_H-M_alt 'P 1'
_space_group_IT_number 1
_space_group_name_Hall 'P 1'
_cell_length_a 5.905
_cell_length_b 5.905
_cell_length_c 4.427
_cell_angle_alpha 96.35
_cell_angle_beta 96.35
_cell_angle_gamma 42.16
loop_
_atom_site_label
_atom_site_type_symbol
_atom_site_fract_x
_atom_site_fract_y
_atom_site_fract_z
_atom_site_occupancy
La1 La 0.000 0.000 0.000 1
La2 La 0.737 0.737 0.540 1
Si1 Si 0.277 0.277 0.064 1
As1 As 0.458 0.458 0.473 1
# total DFT energy (no corrections) = -120.638 eV for the cell shown
# space-group type = Cm (8)
# energy relative to the elements, uncorrected = -4.22 eV per formula unit

# NaReS2N SCAN PBEsol geometry
data_NaReS2N
_chemical_formula_sum 'Na1 Re1 S2 N1'
_space_group_name_H-M_alt 'P 1'
_space_group_IT_number 1
_space_group_name_Hall 'P 1'
_cell_length_a 4.763
_cell_length_b 4.763
_cell_length_c 3.758
_cell_angle_alpha 90.00
_cell_angle_beta 90.00
_cell_angle_gamma 90.00
loop_
_atom_site_label
_atom_site_type_symbol
_atom_site_fract_x
_atom_site_fract_y
_atom_site_fract_z
_atom_site_occupancy
Na1 Na 0.000 0.000 0.000 1
Re1 Re 0.500 0.500 0.500 1
S1 S 0.000 0.500 0.500 1
S2 S 0.500 0.000 0.500 1
N1 N 0.500 0.500 0.000 1
# total DFT energy (no corrections) = -104.910 eV for the cell shown
# space-group type = P4/mmm (123)
# energy relative to the elements, uncorrected = -1.05 eV per formula unit

# Sr3CdPt SCAN PBEsol geometry
data_Sr3CdPt
_chemical_formula_sum 'Sr3 Cd1 Pt1'
_space_group_name_H-M_alt 'P 1'
_space_group_IT_number 1
_space_group_name_Hall 'P 1'
_cell_length_a 5.776
_cell_length_b 5.776
_cell_length_c 5.776
_cell_angle_alpha 90.00
_cell_angle_beta 90.00
_cell_angle_gamma 90.00
loop_
_atom_site_label
_atom_site_type_symbol
_atom_site_fract_x
_atom_site_fract_y
_atom_site_fract_z
_atom_site_occupancy
Sr1 Sr 0.000 0.000 0.500 1
Sr2 Sr 0.000 0.500 0.000 1
Sr3 Sr 0.500 0.000 0.000 1
Cd1 Cd 0.500 0.500 0.500 1
Pt1 Pt 0.000 0.000 0.000 1
# total DFT energy (no corrections) = -169.996 eV for the cell shown
# space-group type = Pm-3m (221)
# ΔE_f = -0.513 eV per atom